# MoAsPb2I

A relaxed MoAsPb2I crystal (GGA-PBE, Alexandria via LeMat-Bulk).

extended XYZ file:
```
5
Lattice="6.0004 0.0000 0.0000 0.0000 6.0004 0.0000 0.0000 0.0000 5.1492" Properties=species:S:1:pos:R:3 pbc="T T T"
Mo 0.0000 0.0000 0.0000
As 3.0002 3.0002 0.0000
Pb 0.0000 3.0002 2.5746
Pb 3.0002 0.0000 2.5746
I 0.0000 0.0000 2.5746
```

## Properties
Formation energy from raw total energies (eV per formula unit): 7.2
Volume (A^3/atom): 37.08

# Rb2MoAsI6

A relaxed Rb2MoAsI6 crystal (GGA-PBE, Alexandria via LeMat-Bulk).

extended XYZ file:
```
10
Lattice="-4.1961 4.1961 5.8502 4.1961 -4.1961 5.8502 4.1961 4.1961 -5.8502" Properties=species:S:1:pos:R:3 pbc="T T T"
Rb 4.1961 0.0000 2.9251
Rb 0.0000 4.1961 2.9251
Mo 0.0000 0.0000 0.0000
As 0.0000 0.0000 5.8502
I 2.0331 2.0331 0.0000
I 2.1630 -2.1630 5.8502
I 0.0000 0.0000 2.8858
I 0.0000 0.0000 8.8146
I -2.1630 2.1630 5.8502
I 2.1630 2.1630 5.8502
```

## Properties
Formation energy from raw total energies (eV per formula unit): -4.8
Volume (A^3/atom): 41.20

# Re2MoAsI

A relaxed Re2MoAsI crystal (GGA-PBE, Alexandria via LeMat-Bulk).

extended XYZ file:
```
5
Lattice="4.8929 0.0000 0.0000 0.0000 4.8929 0.0000 0.0000 0.0000 4.7639" Properties=species:S:1:pos:R:3 pbc="T T T"
Re 0.0000 2.4465 0.0000
Re 2.4465 0.0000 0.0000
Mo 0.0000 0.0000 0.0000
As 0.0000 0.0000 2.3819
I 2.4465 2.4465 2.3819
```

## Properties
Formation energy from raw total energies (eV per formula unit): 9.3
Volume (A^3/atom): 22.81

# MoAs2RhI

A relaxed MoAs2RhI crystal (GGA-PBE, Alexandria via LeMat-Bulk).

extended XYZ file:
```
5
Lattice="4.8507 0.0000 0.0000 0.0000 4.8507 0.0000 0.0000 0.0000 5.0272" Properties=species:S:1:pos:R:3 pbc="T T T"
Mo 0.0000 0.0000 0.0000
As 0.0000 2.4254 0.0000
As 2.4254 0.0000 0.0000
Rh 0.0000 0.0000 2.5136
I 2.4254 2.4254 2.5136
```

## Properties
Formation energy from raw total energies (eV per formula unit): 3.6
Volume (A^3/atom): 23.66

# Sb2MoAsI

A relaxed Sb2MoAsI crystal (GGA-PBE, Alexandria via LeMat-Bulk).

extended XYZ file:
```
5
Lattice="5.3987 0.0000 0.0000 0.0000 5.3987 0.0000 0.0000 0.0000 5.4583" Properties=species:S:1:pos:R:3 pbc="T T T"
Sb 0.0000 2.6993 0.0000
Sb 2.6993 0.0000 0.0000
Mo 0.0000 0.0000 2.7291
As 2.6993 2.6993 0.0000
I 2.6993 2.6993 2.7291
```

## Properties
Formation energy from raw total energies (eV per formula unit): 6.3
Volume (A^3/atom): 31.82
Offset from the most stable computed form (meV per atom): 455.1

# Sb2MoAsI

A relaxed Sb2MoAsI crystal (GGA-PBE, Alexandria via LeMat-Bulk).

extended XYZ file:
```
5
Lattice="5.2644 0.0000 0.0000 0.0000 5.2644 0.0000 0.0000 0.0000 5.3143" Properties=species:S:1:pos:R:3 pbc="T T T"
Sb 0.0000 2.6322 0.0000
Sb 2.6322 0.0000 0.0000
Mo 0.0000 0.0000 0.0000
As 2.6322 2.6322 2.6572
I 0.0000 0.0000 2.6572
```

## Properties
Formation energy from raw total energies (eV per formula unit): 4.0
Volume (A^3/atom): 29.46
Offset from the most stable computed form (meV per atom): 0.0

# MoAsSe2I

A relaxed MoAsSe2I crystal (GGA-PBE, Alexandria via LeMat-Bulk).

extended XYZ file:
```
5
Lattice="4.8664 0.0000 0.0000 0.0000 4.8664 0.0000 0.0000 0.0000 5.2331" Properties=species:S:1:pos:R:3 pbc="T T T"
Mo 0.0000 0.0000 0.0000
As 0.0000 0.0000 2.6165
Se 0.0000 2.4332 0.0000
Se 2.4332 0.0000 0.0000
I 2.4332 2.4332 2.6165
```

## Properties
Formation energy from raw total energies (eV per formula unit): 1.1
Volume (A^3/atom): 24.79
Offset from the most stable computed form (meV per atom): 0.0

# TeMoAsI2

A relaxed TeMoAsI2 crystal (GGA-PBE, Alexandria via LeMat-Bulk).

extended XYZ file:
```
5
Lattice="5.5385 0.0000 0.0000 0.0000 5.5385 0.0000 0.0000 0.0000 5.7081" Properties=species:S:1:pos:R:3 pbc="T T T"
Te 0.0000 0.0000 0.0000
Mo 2.7693 2.7693 0.0000
As 0.0000 0.0000 2.8540
I 0.0000 2.7693 2.8540
I 2.7693 0.0000 2.8540
```

## Properties
Formation energy from raw total energies (eV per formula unit): 5.0
Volume (A^3/atom): 35.02
Offset from the most stable computed form (meV per atom): 240.0

# TeMoAsI2

A relaxed TeMoAsI2 crystal (GGA-PBE, Alexandria via LeMat-Bulk).

extended XYZ file:
```
5
Lattice="5.3869 0.0000 0.0000 0.0000 5.3869 0.0000 0.0000 0.0000 5.2867" Properties=species:S:1:pos:R:3 pbc="T T T"
Te 0.0000 0.0000 0.0000
Mo 0.0000 0.0000 2.6433
As 2.6935 2.6935 0.0000
I 0.0000 2.6935 2.6433
I 2.6935 0.0000 2.6433
```

## Properties
Formation energy from raw total energies (eV per formula unit): 3.8
Volume (A^3/atom): 30.68
Offset from the most stable computed form (meV per atom): 0.0

# YMoAsI2

A relaxed YMoAsI2 crystal (GGA-PBE, Alexandria via LeMat-Bulk).

extended XYZ file:
```
5
Lattice="5.7762 0.0000 0.0000 0.0000 5.7762 0.0000 0.0000 0.0000 4.8797" Properties=species:S:1:pos:R:3 pbc="T T T"
Y 0.0000 0.0000 0.0000
Mo 2.8881 2.8881 0.0000
As 2.8881 2.8881 2.4399
I 0.0000 2.8881 2.4399
I 2.8881 0.0000 2.4399
```

## Properties
Formation energy from raw total energies (eV per formula unit): 3.8
Volume (A^3/atom): 32.56

# AsI3N

A relaxed AsI3N crystal (GGA-PBE, Alexandria via LeMat-Bulk).

extended XYZ file:
```
5
Lattice="5.7347 0.0000 0.0000 0.0000 5.7347 0.0000 0.0000 0.0000 5.7347" Properties=species:S:1:pos:R:3 pbc="T T T"
As 0.0000 0.0000 0.0000
I 0.0000 0.0000 2.8674
I 0.0000 2.8674 0.0000
I 2.8674 0.0000 0.0000
N 2.8674 2.8674 2.8674
```

## Properties
Formation energy from raw total energies (eV per formula unit): 5.2
Volume (A^3/atom): 37.72
Offset from the most stable computed form (meV per atom): 252.8

# AsI3N

A relaxed AsI3N crystal (GGA-PBE, Alexandria via LeMat-Bulk).

extended XYZ file:
```
5
Lattice="5.0224 0.0000 0.0000 0.0000 5.0224 0.0000 0.0000 0.0000 5.0224" Properties=species:S:1:pos:R:3 pbc="T T T"
As 0.0000 0.0000 0.0000
I 0.0000 2.5112 2.5112
I 2.5112 0.0000 2.5112
I 2.5112 2.5112 0.0000
N 2.5112 2.5112 2.5112
```

## Properties
Formation energy from raw total energies (eV per formula unit): 5.9
Volume (A^3/atom): 25.34
Offset from the most stable computed form (meV per atom): 392.9